Record 1
Entry from Alexandria: Zr2SnIr after structural relaxation (GGA-PBE).

```
Zr2SnIr
1.0
4.276 0.000 0.000
0.000 4.284 0.000
0.000 0.000 4.284
Sn Zr Ir
1 2 1
direct
0.500 0.500 0.500
0.000 0.500 0.000
0.000 0.000 0.500
0.500 0.000 0.000
```

The formation energy comes out at -12.15 kcal/mol of atoms.


Record 2
Entry from Alexandria: PmThCN after structural relaxation (GGA-PBE).

```
PmThCN
1.0
-2.698 2.359 -1.029
-2.048 -0.717 -3.033
-5.534 -2.495 2.034
C Pm Th N
1 1 1 1
direct
0.691 0.691 0.927
0.443 0.443 0.670
0.943 0.943 0.172
0.199 0.199 0.402
```

As for the uncorrected formation energy: -839 meV/atom.


Record 3
Entry from Alexandria: CaCd2F6 after structural relaxation (GGA-PBE).

```
CaCd2F6
1.0
-2.531 -3.351 3.096
2.639 -3.964 -2.133
7.645 1.091 7.433
F Cd Ca
12 4 2
direct
0.192 0.808 0.000
0.694 0.694 0.167
0.692 0.692 0.500
0.194 0.806 0.667
0.306 0.306 0.833
0.806 0.194 0.333
0.308 0.308 0.500
0.808 0.192 0.000
0.806 0.194 0.667
0.694 0.694 0.833
0.194 0.806 0.333
0.306 0.306 0.167
0.500 0.500 0.333
0.000 0.000 0.167
0.000 0.000 0.833
0.500 0.500 0.667
0.000 0.000 0.500
0.500 0.500 0.000
```

As for the uncorrected formation energy: -2765 meV/atom. The distance to the lowest polymorph of the same formula comes out at 0.000 eV/atom.


Record 4
Entry from Alexandria: Nd2Zn12Ag5 after structural relaxation (GGA-PBE).

```
Nd2Zn12Ag5
1.0
-2.393 3.878 -5.319
-6.698 0.242 2.033
0.287 6.204 3.237
Zn Nd Ag
12 2 5
direct
0.000 0.298 0.702
0.702 0.000 0.298
0.298 0.702 0.000
0.648 0.166 0.648
0.000 0.702 0.298
0.648 0.648 0.166
0.702 0.298 0.000
0.834 0.352 0.352
0.298 0.000 0.702
0.352 0.352 0.834
0.166 0.648 0.648
0.352 0.834 0.352
0.659 0.659 0.659
0.341 0.341 0.341
0.000 0.000 0.500
0.500 0.000 0.000
0.897 0.897 0.897
0.000 0.500 0.000
0.103 0.103 0.103
```

The formation energy comes out at -4.45 kcal/mol of atoms.


Copy entry 2 word for word.
Entry from Alexandria: PmThCN after structural relaxation (GGA-PBE).

```
PmThCN
1.0
-2.698 2.359 -1.029
-2.048 -0.717 -3.033
-5.534 -2.495 2.034
C Pm Th N
1 1 1 1
direct
0.691 0.691 0.927
0.443 0.443 0.670
0.943 0.943 0.172
0.199 0.199 0.402
```

As for the uncorrected formation energy: -839 meV/atom.


Copy entry 1 word for word.
Entry from Alexandria: Zr2SnIr after structural relaxation (GGA-PBE).

```
Zr2SnIr
1.0
4.276 0.000 0.000
0.000 4.284 0.000
0.000 0.000 4.284
Sn Zr Ir
1 2 1
direct
0.500 0.500 0.500
0.000 0.500 0.000
0.000 0.000 0.500
0.500 0.000 0.000
```

The formation energy comes out at -12.15 kcal/mol of atoms.